# PBE Ac6TcIr, relaxed
# * V: 39.92 Å³ per atom
# * theoretical density: 8.591 Mg/m³
# * ΔH_f (0 K): -0.16 eV/atom
data_Ac6TcIr
_cell_length_a 7.2535
_cell_length_b 7.2535
_cell_length_c 14.0180
_cell_angle_alpha 90.00
_cell_angle_beta 90.00
_cell_angle_gamma 120.00
_symmetry_space_group_name_H-M 'P -3 1 c'
_symmetry_Int_Tables_number 163
_symmetry_space_group_name_Hall '-P 3 2c'
loop_
_atom_site_label
_atom_site_fract_x
_atom_site_fract_y
_atom_site_fract_z
_atom_site_occupancy
Ac1 0.0040 0.3347 0.1226 1
Tc1 0.0000 0.0000 0.0000 1
Ir1 0.3333 0.6667 0.2500 1